# 1
VASP calculation (GGA-PBE) on Li3U3BiSe8 after structural relaxation.

```
Li3U3BiSe8
1.0
4.091 2.362 6.550
-4.091 2.362 6.550
0.000 -4.723 6.550
Li U Bi Se
3 3 1 8
Direct
0.000 0.500 0.500 Li
0.500 0.000 0.500 Li
0.500 0.500 0.000 Li
0.000 0.000 0.500 U
0.000 0.500 0.000 U
0.500 0.000 0.000 U
0.500 0.500 0.500 Bi
0.244 0.244 0.756 Se
0.244 0.756 0.244 Se
0.244 0.756 0.756 Se
0.253 0.253 0.253 Se
0.747 0.747 0.747 Se
0.756 0.244 0.244 Se
0.756 0.244 0.756 Se
0.756 0.756 0.244 Se
```

Results
The energy relative to the elements, uncorrected comes out at -1.04 eV/atom. The space-group type is R-3m, No. 166.


# 2
VASP calculation (GGA-PBE) on La3HoSb2 after structural relaxation.

```
La3HoSb2
1.0
-2.269 2.378 8.865
2.269 -2.378 8.865
2.269 2.378 -8.865
La Ho Sb
3 1 2
Direct
0.000 0.000 0.000 La
0.177 0.677 0.500 La
0.823 0.323 0.500 La
0.500 0.500 0.000 Ho
0.366 0.866 0.500 Sb
0.634 0.134 0.500 Sb
```

Results
The energy relative to the elements, uncorrected comes out at -0.87 eV/atom. The space-group type is Immm, No. 71. The distance to the lowest polymorph of the same formula is 0 meV per atom.


Magnetic moment / Bohr magnetons per cell: 8.00; 0.02